[1]
Compound: K4ReRu
Source: the Alexandria database
Functional: PBE-GGA
Structure: relaxed

Lattice parameters (Å, degrees): 9.067 9.067 9.067 90.00 90.00 90.00
Space group F-43m (No. 216)
One atom of each set of equivalent atoms:
K (0.125, 0.125, 0.125)
Re (0.250, 0.250, 0.750)
Ru (0.000, 0.000, 0.500)

Output
Calculated total energy (eV per atom): -2.4611
Calculated density (g/cm³): 3.95
E_form (eV per atom): 1.89
Crystal system: cubic
V (Å³/f.u.): 186.38


[2]
Compound: KReRu2
Source: the Alexandria database
Functional: PBE-GGA
Structure: relaxed

Lattice parameters (Å, degrees): 2.699 3.863 7.953 90.00 90.00 90.00
Space group Pmm2 (No. 25)
One atom of each set of equivalent atoms:
K (0.000, 0.000, 0.000)
Re (0.500, 0.500, 0.357)
Ru (0.000, 0.000, 0.492)
Ru (0.500, 0.500, 0.672)

Output
Calculated total energy (eV per atom): -7.1794
Calculated density (g/cm³): 8.56
E_form (eV per atom): 0.84
Crystal system: orthorhombic
V (Å³/f.u.): 82.94
Polymorph energy (0 for the lowest one) (meV per atom): 201


[3]
Compound: KReRu2
Source: the Alexandria database
Functional: PBE-GGA
Structure: relaxed

Lattice parameters (Å, degrees): 2.853 4.638 10.394 90.00 90.00 90.00
Space group Cmm2 (No. 35)
One atom of each set of equivalent atoms:
K (0.000, 0.000, 0.000)
Re (0.000, 0.500, 0.706)
Ru (0.000, 0.000, 0.494)
Ru (0.000, 0.500, 0.278)

Output
Calculated total energy (eV per atom): -7.1084
Calculated density (g/cm³): 10.32
E_form (eV per atom): 0.92
Crystal system: orthorhombic
V (Å³/f.u.): 68.78
Polymorph energy (0 for the lowest one) (meV per atom): 272


[4]
Compound: KReRu2
Source: the Alexandria database
Functional: PBE-GGA
Structure: relaxed

Lattice parameters (Å, degrees): 6.356 7.976 2.654 90.00 90.00 90.00
Space group Cmmm (No. 65)
One atom of each set of equivalent atoms:
K (0.000, 0.000, 0.000)
Re (0.000, 0.500, 0.000)
Ru (0.250, 0.250, 0.500)

Output
Calculated total energy (eV per atom): -6.6706
Calculated density (g/cm³): 10.55
E_form (eV per atom): 1.35
Crystal system: orthorhombic
V (Å³/f.u.): 67.26
Polymorph energy (0 for the lowest one) (meV per atom): 710


[5]
Compound: KReRu2
Source: the Alexandria database
Functional: PBE-GGA
Structure: relaxed

Lattice parameters (Å, degrees): 2.692 5.033 10.465 90.00 90.00 90.00
Space group Imm2 (No. 44)
One atom of each set of equivalent atoms:
K (0.000, 0.000, 0.000)
Re (0.000, 0.500, 0.789)
Ru (0.000, 0.000, 0.504)
Ru (0.000, 0.500, 0.216)

Output
Calculated total energy (eV per atom): -6.9057
Calculated density (g/cm³): 10.01
E_form (eV per atom): 1.12
Crystal system: orthorhombic
V (Å³/f.u.): 70.91
Polymorph energy (0 for the lowest one) (meV per atom): 474


[6]
Compound: KReRu2
Source: the Alexandria database
Functional: PBE-GGA
Structure: relaxed

Lattice parameters (Å, degrees): 2.8097 2.8097 30.3558 90.00 90.00 120.00
Space group R-3m (No. 166, hexagonal axes)
One atom of each set of equivalent atoms:
K (0.0000, 0.0000, 0.0000)
Re (0.0000, 0.0000, 0.5000)
Ru (0.0000, 0.0000, 0.2359)

Output
Calculated total energy (eV per atom): -7.3802
Calculated density (g/cm³): 10.26
E_form (eV per atom): 0.64
Crystal system: trigonal
V (Å³/f.u.): 69.18
Polymorph energy (0 for the lowest one) (meV per atom): 0